A geometry-optimized ZnHgSe2 structure, computed with GGA-PBE.

Cell: 4.0815 4.0815 6.9171 Å, 90.00 90.00 120.00°
Closest atoms and distances in Å follow each position.
Sites, in units of the cell vectors:
1 Zn 0.0000 0.0000 0.9500  3 Se 2.51
2 Hg 0.3333 0.6667 0.4405  4 Se 2.65-2.73
3 Se 0.6667 0.3333 0.2410  3 Hg 2.73
4 Se 0.3333 0.6667 0.8235  3 Zn 2.51, 1 Hg 2.65

Output
Magnetization (μB per formula unit): 0.0
Formation energy without anion corrections (eV/atom): -0.294
N(E_F) (states/eV/cell): 0.5

A geometry-optimized ZnHgSe2 structure, computed with GGA-PBE.

Cell: 3.9650 3.9650 5.6146 Å, 90.00 90.00 90.00°
Closest atoms and distances in Å follow each position.
Sites, in units of the cell vectors:
1 Zn 0.0000 0.0000 0.5000  6 Se 2.80-2.81
2 Se 0.5000 0.5000 0.5000  4 Zn 2.80, 2 Hg 2.81
3 Se 0.0000 0.0000 0.0000  4 Hg 2.80, 2 Zn 2.81
4 Hg 0.5000 0.5000 0.0000  6 Se 2.80-2.81

Output
Magnetization (μB per formula unit): 0.0
Formation energy without anion corrections (eV/atom): -0.182
N(E_F) (states/eV/cell): 1.4

Which formula does entry 2 have?
ZnHgSe2

What is the formation energy without anion corrections in the second record?
-0.182 eV/atom

Copy entry 2 word for word.
A geometry-optimized ZnHgSe2 structure, computed with GGA-PBE.

Cell: 3.9650 3.9650 5.6146 Å, 90.00 90.00 90.00°
Closest atoms and distances in Å follow each position.
Sites, in units of the cell vectors:
1 Zn 0.0000 0.0000 0.5000  6 Se 2.80-2.81
2 Se 0.5000 0.5000 0.5000  4 Zn 2.80, 2 Hg 2.81
3 Se 0.0000 0.0000 0.0000  4 Hg 2.80, 2 Zn 2.81
4 Hg 0.5000 0.5000 0.0000  6 Se 2.80-2.81

Output
Magnetization (μB per formula unit): 0.0
Formation energy without anion corrections (eV/atom): -0.182
N(E_F) (states/eV/cell): 1.4

What is the formula in the second record?
ZnHgSe2